Arrangement i

VASP calculation (GGA-PBE) on a relaxed structure of LiNbIrN2.

a b c (Å): 3.8319 3.8319 5.3371
angles (deg): 90.00 90.00 90.00
With the nearest neighbours (Å) after each atom.
Positions (direct):
Li: 0.0000 0.0000 0.0000  4 Nb 2.71
Nb: 0.5000 0.5000 0.0000  2 Ir 2.67, 4 Li 2.71
Ir: 0.5000 0.5000 0.5000  4 N 1.92
N: 0.0000 0.5000 0.5000  2 Ir 1.92
N: 0.5000 0.0000 0.5000  2 Ir 1.92

space group: P4/mmm, No. 123

***

Arrangement ii

VASP calculation (GGA-PBE) on a relaxed structure of LiNbIrN2.

a b c (Å): 4.0750 4.0750 5.1317
angles (deg): 90.00 90.00 90.00
With the nearest neighbours (Å) after each atom.
Positions (direct):
Li: 0.0000 0.0000 0.0000  4 Ir 2.88
Nb: 0.5000 0.5000 0.5000  4 N 2.04
Ir: 0.5000 0.5000 0.0000  2 Nb 2.57
N: 0.0000 0.5000 0.5000  2 Nb 2.04
N: 0.5000 0.0000 0.5000  2 Nb 2.04

space group: P4/mmm, No. 123

***

Q: Which of them is the least stable? A: arrangement i.

***

Arrangement i

VASP calculation (GGA-PBE) on a relaxed structure of LiIrSN2.

a b c (Å): 3.5956 3.5956 4.2694
angles (deg): 90.00 90.00 90.00
With the nearest neighbours (Å) after each atom.
Positions (direct):
Li: 0.0000 0.0000 0.0000  4 N 1.80
Ir: 0.5000 0.5000 0.5000  4 S 2.54, 8 N 2.79
S: 0.0000 0.0000 0.5000  2 Li 2.13
N: 0.0000 0.5000 0.0000  2 Li 1.80
N: 0.5000 0.0000 0.0000  2 Li 1.80

space group: P4/mmm, No. 123

***

Arrangement ii

VASP calculation (GGA-PBE) on a relaxed structure of LiIrSN2.

a b c (Å): 3.7527 3.7527 5.2971
angles (deg): 90.00 90.00 90.00
With the nearest neighbours (Å) after each atom.
Positions (direct):
Li: 0.0000 0.0000 0.0000  4 S 2.65
Ir: 0.5000 0.5000 0.5000  4 N 1.88
S: 0.5000 0.5000 0.0000  2 Ir 2.65, 4 Li 2.65
N: 0.0000 0.5000 0.5000  2 Ir 1.88
N: 0.5000 0.0000 0.5000  2 Ir 1.88

space group: P4/mmm, No. 123

***

Q: Which of them is the least stable? A: arrangement i.

***

Arrangement i

VASP calculation (GGA-PBE) on a relaxed structure of LiIrS2N.

a b c (Å): 4.4182 4.4182 3.3120
angles (deg): 90.00 90.00 90.00
With the nearest neighbours (Å) after each atom.
Positions (direct):
Li: 0.0000 0.0000 0.0000  2 N 1.66
Ir: 0.5000 0.5000 0.5000  8 S 2.76
S: 0.0000 0.5000 0.0000  2 Li 2.21
S: 0.5000 0.0000 0.0000  2 Li 2.21
N: 0.0000 0.0000 0.5000  2 Li 1.66

space group: P4/mmm, No. 123

***

Arrangement ii

VASP calculation (GGA-PBE) on a relaxed structure of LiIrS2N.

a b c (Å): 4.9437 4.9437 3.6508
angles (deg): 90.00 90.00 90.00
With the nearest neighbours (Å) after each atom.
Positions (direct):
Li: 0.0000 0.0000 0.0000  8 S 3.07
Ir: 0.5000 0.5000 0.5000  2 N 1.83
S: 0.0000 0.5000 0.5000  2 Ir 2.47
S: 0.5000 0.0000 0.5000  2 Ir 2.47
N: 0.5000 0.5000 0.0000  2 Ir 1.83

space group: P4/mmm, No. 123

***

Q: Which of them is the least stable? A: arrangement i.